1.
First-principles (PBE) data for a relaxed Zr2InO crystal, as listed in Alexandria.

Unit cell a=2.9817 b=2.9817 c=7.5647 alpha=90.00 beta=90.00 gamma=90.00
Space group P4/mmm (No. 123)
Inequivalent atoms, fractional coordinates:
Zr  0.0000  0.0000  0.1949
In  0.5000  0.5000  0.5000
O  0.5000  0.5000  0.0000

Properties
**Calculated density**: 7.7 Mg/m³
**Magnetic moment**: 0.00 μB/f.u.
**Crystal system**: tetragonal
**Relative energy among the computed polymorphs**: 1.43 eV per formula unit
**DOS at the Fermi energy**: 1.6 states/eV per cell
**ΔE_f (raw)**: -956 meV per atom

2.
First-principles (PBE) data for a relaxed LiPmTlPb crystal, as listed in Alexandria.

Unit cell a=7.5236 b=7.5236 c=7.5236 alpha=90.00 beta=90.00 gamma=90.00
Space group F-43m (No. 216)
Inequivalent atoms, fractional coordinates:
Li  0.0000  0.0000  0.0000
Pm  0.0000  0.0000  0.5000
Tl  0.2500  0.2500  0.2500
Pb  0.2500  0.2500  0.7500

Properties
**Calculated density**: 8.8 Mg/m³
**Magnetic moment**: 0.00 μB/f.u.
**Crystal system**: cubic
**Relative energy among the computed polymorphs**: 0.19 eV per formula unit
**DOS at the Fermi energy**: 8.2 states/eV per cell

3.
First-principles (PBE) data for a relaxed BeHg crystal, as listed in Alexandria.

Unit cell a=3.1288 b=10.4490 c=3.9844 alpha=90.00 beta=90.00 gamma=90.00
Space group Cmcm (No. 63)
Inequivalent atoms, fractional coordinates:
Be  0.0000  0.1560  0.2500
Hg  0.0000  0.3918  0.2500

Properties
**Calculated density**: 10.7 Mg/m³
**Magnetic moment**: 0.00 μB/f.u.
**Crystal system**: orthorhombic
**Relative energy among the computed polymorphs**: 0.52 eV per formula unit
**DOS at the Fermi energy**: 2.2 states/eV per cell

4.
First-principles (PBE) data for a relaxed MnAlPd crystal, as listed in Alexandria.

Unit cell a=2.8692 b=2.8692 c=10.3750 alpha=90.00 beta=90.00 gamma=90.00
Space group I4mm (No. 107)
Inequivalent atoms, fractional coordinates:
Mn  0.0000  0.0000  0.0000
Al  0.0000  0.0000  0.6603
Pd  0.0000  0.0000  0.3200

Properties
**Calculated density**: 7.3 Mg/m³
**Magnetic moment**: 3.15 μB/f.u.
**Crystal system**: tetragonal
**Uncorrected energy**: -38.67 eV/cell
**DOS at the Fermi energy**: 3.2 states/eV per cell

5.
First-principles (PBE) data for a relaxed YTiP2S crystal, as listed in Alexandria.

Unit cell a=4.6742 b=4.6742 c=4.7213 alpha=90.00 beta=90.00 gamma=90.00
Space group P4/mmm (No. 123)
Inequivalent atoms, fractional coordinates:
Y  0.0000  0.0000  0.0000
Ti  0.5000  0.5000  0.5000
P  0.0000  0.5000  0.5000
S  0.5000  0.5000  0.0000

Properties
**Calculated density**: 3.7 Mg/m³
**Magnetic moment**: 0.00 μB/f.u.
**Crystal system**: tetragonal
**Relative energy among the computed polymorphs**: 0.00 eV per formula unit
**DOS at the Fermi energy**: 3.3 states/eV per cell
**ΔE_f (raw)**: -703 meV per atom

6.
First-principles (PBE) data for a relaxed CeEuBi2 crystal, as listed in Alexandria.

Unit cell a=3.5611 b=3.5611 c=36.5237 alpha=90.00 beta=90.00 gamma=120.00
Space group R-3m (No. 166, hexagonal axes)
Inequivalent atoms, fractional coordinates:
Ce  0.0000  0.0000  0.0000
Eu  0.0000  0.0000  0.5000
Bi  0.0000  0.0000  0.0898

Properties
**Calculated density**: 8.8 Mg/m³
**Magnetic moment**: 9.24 μB/f.u.
**Crystal system**: trigonal
**Relative energy among the computed polymorphs**: 2.29 eV per formula unit
**DOS at the Fermi energy**: 21.6 states/eV per cell

7.
First-principles (PBE) data for a relaxed ScC8 crystal, as listed in Alexandria.

Unit cell a=5.4940 b=5.4940 c=5.7611 alpha=90.00 beta=90.00 gamma=90.00
Space group I4/mmm (No. 139)
Inequivalent atoms, fractional coordinates:
Sc  0.0000  0.0000  0.0000
C  0.0000  0.3710  0.0000
C  0.2387  0.2387  0.5000

Properties
**Calculated density**: 2.7 Mg/m³
**Magnetic moment**: 0.00 μB/f.u.
**Crystal system**: tetragonal
**Uncorrected energy**: -131.42 eV/cell
**DOS at the Fermi energy**: 8.7 states/eV per cell

8.
First-principles (PBE) data for a relaxed CeYSc crystal, as listed in Alexandria.

Unit cell a=5.3731 b=5.3731 c=22.4947 alpha=90.00 beta=90.00 gamma=120.00
Space group R-3m (No. 166, hexagonal axes)
Inequivalent atoms, fractional coordinates:
Ce  0.0000  0.0000  0.1248
Y  0.0000  0.0000  0.2907
Sc  0.0000  0.0000  0.4381

Properties
**Calculated density**: 4.9 Mg/m³
**Magnetic moment**: 1.22 μB/f.u.
**Crystal system**: trigonal
**Relative energy among the computed polymorphs**: 0.81 eV per formula unit
**DOS at the Fermi energy**: 51.1 states/eV per cell

9.
First-principles (PBE) data for a relaxed CuHgRh4 crystal, as listed in Alexandria.

Unit cell a=7.3061 b=7.3061 c=7.3061 alpha=90.00 beta=90.00 gamma=90.00
Space group F-43m (No. 216)
Inequivalent atoms, fractional coordinates:
Cu  0.0000  0.0000  0.0000
Hg  0.2500  0.2500  0.7500
Rh  0.1252  0.1252  0.3748

Properties
**Calculated density**: 11.5 Mg/m³
**Magnetic moment**: 1.82 μB/f.u.
**Crystal system**: cubic
**Uncorrected energy**: -125.60 eV/cell
**DOS at the Fermi energy**: 44.9 states/eV per cell

10.
First-principles (PBE) data for a relaxed In4Se3S2 crystal, as listed in Alexandria.

Unit cell a=13.2407 b=3.8762 c=9.3501 alpha=90.00 beta=102.10 gamma=90.00
Space group C2/m (No. 12)
Inequivalent atoms, fractional coordinates:
In  0.0486  0.0000  0.2158
In  0.1596  0.5000  0.6207
Se  0.0000  0.0000  0.5000
Se  0.0919  0.5000  0.8840
S  0.2001  0.5000  0.3200

Properties
**Calculated density**: 5.4 Mg/m³
**Magnetic moment**: 0.00 μB/f.u.
**Crystal system**: monoclinic
**Relative energy among the computed polymorphs**: 0.65 eV per formula unit
**DOS at the Fermi energy**: 5.2 states/eV per cell
**ΔE_f (raw)**: -400 meV per atom

11.
First-principles (PBE) data for a relaxed Nd2TcN3 crystal, as listed in Alexandria.

Unit cell a=3.5216 b=3.9044 c=12.9261 alpha=90.00 beta=90.00 gamma=90.00
Space group Immm (No. 71)
Inequivalent atoms, fractional coordinates:
Nd  0.0000  0.0000  0.1484
Tc  0.0000  0.0000  0.5000
N  0.0000  0.0000  0.3398
N  0.0000  0.5000  0.5000

Properties
**Calculated density**: 8.0 Mg/m³
**Magnetic moment**: 0.00 μB/f.u.
**Crystal system**: orthorhombic
**DOS at the Fermi energy**: 7.1 states/eV per cell
**ΔE_f (raw)**: -975 meV per atom

12.
First-principles (PBE) data for a relaxed AcTl2Hg crystal, as listed in Alexandria.

Unit cell a=4.9466 b=4.9466 c=5.0271 alpha=90.00 beta=90.00 gamma=90.00
Space group P4/mmm (No. 123)
Inequivalent atoms, fractional coordinates:
Ac  0.0000  0.0000  0.0000
Tl  0.0000  0.5000  0.5000
Hg  0.5000  0.5000  0.0000

Properties
**Calculated density**: 11.3 Mg/m³
**Magnetic moment**: 0.00 μB/f.u.
**Crystal system**: tetragonal
**Relative energy among the computed polymorphs**: 0.15 eV per formula unit
**DOS at the Fermi energy**: 3.1 states/eV per cell

13.
First-principles (PBE) data for a relaxed Rb3Pd2Cl7 crystal, as listed in Alexandria.

Unit cell a=5.0281 b=5.0281 c=26.1315 alpha=90.00 beta=90.00 gamma=90.00
Space group I4/mmm (No. 139)
Inequivalent atoms, fractional coordinates:
Rb  0.0000  0.0000  0.0000
Rb  0.0000  0.0000  0.1809
Pd  0.0000  0.0000  0.4051
Cl  0.0000  0.0000  0.3094
Cl  0.0000  0.0000  0.5000
Cl  0.0000  0.5000  0.0940

Properties
**Calculated density**: 3.6 Mg/m³
**Magnetic moment**: 0.00 μB/f.u.
**Crystal system**: tetragonal
**Relative energy among the computed polymorphs**: 0.00 eV per formula unit
**DOS at the Fermi energy**: 4.3 states/eV per cell
**ΔE_f (raw)**: -1222 meV per atom

14.
First-principles (PBE) data for a relaxed TlAgS2 crystal, as listed in Alexandria.

Unit cell a=4.6565 b=6.8317 c=7.3532 alpha=81.51 beta=84.34 gamma=74.97
Space group P1 (No. 1)
Inequivalent atoms, fractional coordinates:
Tl  0.0000  0.0000  0.0000
Tl  0.2206  0.3861  0.5326
Ag  0.0140  0.5166  0.1031
Ag  0.5947  0.5929  0.8058
S  0.4031  0.3060  0.9318
S  0.5689  0.6873  0.2689
S  0.6358  0.9279  0.3876
S  0.8701  0.8154  0.6246

Properties
**Calculated density**: 5.6 Mg/m³
**Magnetic moment**: 0.00 μB/f.u.
**Crystal system**: triclinic
**DOS at the Fermi energy**: 0.0 states/eV per cell
**ΔE_f (raw)**: -127 meV per atom

15.
First-principles (PBE) data for a relaxed Mg2AlZn crystal, as listed in Alexandria.

Unit cell a=3.1195 b=4.5563 c=5.5720 alpha=90.00 beta=105.59 gamma=90.00
Space group Pm (No. 6)
Inequivalent atoms, fractional coordinates:
Mg  0.0000  0.0000  0.0000
Mg  0.3230  0.5000  0.6667
Al  0.7253  0.0000  0.4626
Zn  0.5924  0.5000  0.1976

Properties
**Calculated density**: 3.1 Mg/m³
**Magnetic moment**: 0.00 μB/f.u.
**Crystal system**: monoclinic
**Uncorrected energy**: -8.38 eV/cell
**DOS at the Fermi energy**: 1.4 states/eV per cell

16.
First-principles (PBE) data for a relaxed Cs2NaBBr6 crystal, as listed in Alexandria.

Unit cell a=7.5240 b=7.5240 c=12.3126 alpha=90.00 beta=90.00 gamma=90.00
Space group I4/mmm (No. 139)
Inequivalent atoms, fractional coordinates:
Cs  0.0000  0.5000  0.2500
Na  0.0000  0.0000  0.0000
B  0.0000  0.0000  0.5000
Br  0.0000  0.0000  0.2243
Br  0.2042  0.2042  0.5000

Properties
**Calculated density**: 3.7 Mg/m³
**Magnetic moment**: 0.00 μB/f.u.
**Crystal system**: tetragonal
**DOS at the Fermi energy**: 0.0 states/eV per cell
**ΔE_f (raw)**: -922 meV per atom

17.
First-principles (PBE) data for a relaxed CoRe2H crystal, as listed in Alexandria.

Unit cell a=5.8568 b=5.8568 c=5.1399 alpha=90.00 beta=90.00 gamma=90.00
Space group I-42d (No. 122)
Inequivalent atoms, fractional coordinates:
Co  0.0000  0.0000  0.0000
Re  0.1687  0.7500  0.6250
H  0.0000  0.0000  0.5000

Properties
**Calculated density**: 16.3 Mg/m³
**Magnetic moment**: 0.00 μB/f.u.
**Crystal system**: tetragonal
**Relative energy among the computed polymorphs**: 0.00 eV per formula unit
**DOS at the Fermi energy**: 19.2 states/eV per cell

18.
First-principles (PBE) data for a relaxed Ba2TlSe crystal, as listed in Alexandria.

Unit cell a=8.9441 b=8.9441 c=9.0317 alpha=90.00 beta=90.00 gamma=90.00
Space group I-42d (No. 122)
Inequivalent atoms, fractional coordinates:
Ba  0.2118  0.2500  0.1250
Tl  0.0000  0.0000  0.5000
Se  0.0000  0.0000  0.0000

Properties
**Calculated density**: 5.1 Mg/m³
**Magnetic moment**: 0.00 μB/f.u.
**Crystal system**: tetragonal
**Relative energy among the computed polymorphs**: 0.80 eV per formula unit
**DOS at the Fermi energy**: 14.3 states/eV per cell
**ΔE_f (raw)**: -876 meV per atom

19.
First-principles (PBE) data for a relaxed MgAsOs2 crystal, as listed in Alexandria.

Unit cell a=2.9155 b=2.9155 c=25.7944 alpha=90.00 beta=90.00 gamma=120.00
Space group R3m (No. 160, hexagonal axes)
Inequivalent atoms, fractional coordinates:
Mg  0.0000  0.0000  0.0000
As  0.0000  0.0000  0.2403
Os  0.0000  0.0000  0.4987
Os  0.0000  0.0000  0.7513

Properties
**Calculated density**: 12.6 Mg/m³
**Magnetic moment**: 0.00 μB/f.u.
**Crystal system**: trigonal
**Relative energy among the computed polymorphs**: 0.41 eV per formula unit
**DOS at the Fermi energy**: 9.9 states/eV per cell

20.
First-principles (PBE) data for a relaxed TiSeCl3 crystal, as listed in Alexandria.

Unit cell a=4.8551 b=4.8551 c=4.8551 alpha=90.00 beta=90.00 gamma=90.00
Space group Pm-3m (No. 221)
Inequivalent atoms, fractional coordinates:
Ti  0.0000  0.0000  0.0000
Se  0.5000  0.5000  0.5000
Cl  0.0000  0.0000  0.5000

Properties
**Calculated density**: 3.4 Mg/m³
**Magnetic moment**: 0.80 μB/f.u.
**Crystal system**: cubic
**DOS at the Fermi energy**: 18.3 states/eV per cell
**ΔE_f (raw)**: -534 meV per atom